Here is crystalline AlCu2Ni5 at its relaxed geometry from Alexandria via LeMat-Bulk. Energies are from PBEsol.

Properties
**Symmetry**: Pbam, No. 55
**Distance to the lowest polymorph of the same formula**: 28 meV/atom
**Energy of formation**: -175 meV per atom

Geometry as POSCAR:
```
AlCu2Ni5
1.0
4.932 0.000 0.000
0.000 9.878 0.000
0.000 0.000 3.549
Al Cu Ni
2 4 10
Cartesian
0.000 0.000 0.000 Al
2.466 4.939 0.000 Al
1.156 3.674 1.774 Cu
1.310 8.613 1.774 Cu
3.622 1.265 1.774 Cu
3.776 6.204 1.774 Cu
0.000 4.939 0.000 Ni
0.079 7.408 0.000 Ni
1.178 1.226 1.774 Ni
1.288 6.165 1.774 Ni
2.387 2.469 0.000 Ni
2.466 0.000 0.000 Ni
2.545 7.409 0.000 Ni
3.644 3.713 1.774 Ni
3.754 8.652 1.774 Ni
4.854 2.470 0.000 Ni
```